(1)
Crystalline PmEr3Bi4 at its relaxed geometry, computed with PBE.

The structure in POSCAR format:
```
PmEr3Bi4
1.0
4.4849 0.0000 0.0000
0.0000 7.7596 -0.0751
0.0000 -2.5177 7.3402
Bi Er Pm
4 3 1
direct
0.5000 0.2530 0.7470
0.0000 0.2561 0.2561
0.0000 0.7439 0.7439
0.5000 0.7470 0.2530
0.0000 0.0000 0.5000
0.5000 0.5000 0.5000
0.0000 0.5000 0.0000
0.5000 0.0000 0.0000
```

Results
The density is 9.7 g/cm³. The space-group type is Cmmm, No. 65. The calculation puts the spin magnetization at 0.0 μB per cell. The final energy comes out at -0.3738 Ry per atom. The density of states at the Fermi level comes out at 1.23 states/eV per cell.

***

(2)
Crystalline Dy3Ho7Sc2 at its relaxed geometry, computed with PBE.

The structure in POSCAR format:
```
Dy3Ho7Sc2
1.0
-5.7926 2.7129 -0.0285
-3.8245 -0.6786 -5.0821
-7.4274 -8.2900 2.6710
Sc Dy Ho
2 3 7
direct
0.6668 0.6668 0.9997
0.3332 0.3332 0.0003
0.1527 0.1527 0.5419
0.0000 0.0000 0.0000
0.8473 0.8473 0.4581
0.5833 0.0805 0.7528
0.4167 0.4167 0.2472
0.4167 0.9195 0.2472
0.0805 0.5833 0.7528
0.9195 0.4167 0.2472
0.5000 0.5000 0.5000
0.5833 0.5833 0.7528
```

Results
The density is 7.5 g/cm³. The space-group type is R-3m, No. 166. The calculation puts the spin magnetization at 0.0 μB per cell. The final energy comes out at -0.3361 Ry per atom. The density of states at the Fermi level comes out at 21.55 states/eV per cell.

***

(3)
Crystalline RbNaPb4 at its relaxed geometry, computed with PBE.

The structure in POSCAR format:
```
RbNaPb4
1.0
6.7481 0.0000 0.0000
3.3741 5.8440 0.0000
3.3741 1.9480 5.5098
Pb Rb Na
4 1 1
direct
0.6258 0.6258 0.6258
0.1226 0.6258 0.6258
0.6258 0.1226 0.6258
0.6258 0.6258 0.1226
0.2500 0.2500 0.2500
0.0000 0.0000 0.0000
```

Results
The density is 7.2 g/cm³. The space-group type is F-43m, No. 216. The calculation puts the spin magnetization at 0.0 μB per cell. The final energy comes out at -0.2144 Ry per atom. The density of states at the Fermi level comes out at 8.74 states/eV per cell.

***

(4)
Crystalline CeUCSe2 at its relaxed geometry, computed with PBE.

The structure in POSCAR format:
```
CeUCSe2
1.0
-3.9484 -0.3912 -0.2019
0.2956 -3.7063 1.3998
-1.2082 5.0965 13.7494
Se Ce U C
4 2 2 2
direct
0.0000 0.5000 0.6804
0.0000 0.5000 0.0893
0.5000 0.0000 0.9107
0.5000 0.0000 0.3196
0.5000 0.0000 0.1250
0.0000 0.5000 0.8750
0.5000 0.0000 0.5782
0.0000 0.5000 0.4218
0.0000 0.0000 0.5000
0.5000 0.5000 0.5000
```

Results
The density is 7.8 g/cm³. The space-group type is P4/nmm, No. 129. The calculation puts the spin magnetization at 3.4 μB per cell. The final energy comes out at -0.5671 Ry per atom. For the formation energy without anion corrections, the calculation gives -1.033 eV/atom. The density of states at the Fermi level comes out at 20.23 states/eV per cell.

***

(5)
Crystalline Y2Er12Th at its relaxed geometry, computed with PBE.

The structure in POSCAR format:
```
Y2Er12Th
1.0
-5.6043 2.9913 -1.3789
-5.3557 -3.4757 1.2174
2.1376 4.2528 24.5818
Er Th Y
24 2 4
direct
0.8829 0.6813 0.1330
0.4421 0.6512 0.1923
0.0820 0.0821 0.3323
0.0974 0.2039 0.5978
0.4181 0.4176 0.6677
0.9593 0.2676 0.4588
0.3829 0.1813 0.1330
0.9350 0.0338 0.9343
0.4027 0.2958 0.4021
0.6169 0.8190 0.8670
0.5820 0.5821 0.3323
0.5578 0.3490 0.8077
0.1169 0.3190 0.8671
0.0648 0.9666 0.0657
0.9421 0.1512 0.1923
0.5408 0.2320 0.5412
0.0409 0.7320 0.5412
0.9181 0.9176 0.6677
0.5648 0.4666 0.0657
0.4350 0.5338 0.9343
0.5974 0.7039 0.5978
0.4593 0.7676 0.4588
0.0578 0.8490 0.8077
0.9027 0.7958 0.4022
0.9999 0.5002 0.0000
0.4999 0.0002 0.0000
0.0236 0.6115 0.2738
0.5236 0.1115 0.2738
0.9766 0.3882 0.7262
0.4765 0.8882 0.7262
```

Results
The density is 8.6 g/cm³. The space-group type is P-1, No. 2. The calculation puts the spin magnetization at 0.0 μB per cell. The final energy comes out at -0.3646 Ry per atom. The density of states at the Fermi level comes out at 56.36 states/eV per cell.

***

(6)
Crystalline Mg3Sb at its relaxed geometry, computed with PBE.

The structure in POSCAR format:
```
Mg3Sb
1.0
5.5128 0.0352 0.0000
-1.8866 5.1800 0.0000
0.0000 0.0000 3.2705
Mg Sb
3 1
direct
0.5000 0.0000 0.5000
0.0000 0.5000 0.5000
0.5000 0.5000 0.0000
0.0000 0.0000 0.0000
```

Results
The density is 3.5 g/cm³. The space-group type is Cmmm, No. 65. The calculation puts the spin magnetization at 0.0 μB per cell. The final energy comes out at -0.1723 Ry per atom. For the formation energy without anion corrections, the calculation gives -0.118 eV/atom. The density of states at the Fermi level comes out at 1.98 states/eV per cell.

***

(7)
Crystalline La2RhI at its relaxed geometry, computed with PBE.

The structure in POSCAR format:
```
La2RhI
1.0
3.6362 0.0000 0.0000
0.0000 3.6362 0.0000
0.0000 0.0000 8.5152
La I Rh
2 1 1
direct
0.0000 0.0000 0.7950
0.0000 0.0000 0.2050
0.5000 0.5000 0.5000
0.5000 0.5000 0.0000
```

Results
The density is 7.5 g/cm³. The space-group type is P4/mmm, No. 123. The calculation puts the spin magnetization at 0.0 μB per cell. The final energy comes out at -0.4048 Ry per atom. For the formation energy without anion corrections, the calculation gives -0.818 eV/atom. The density of states at the Fermi level comes out at 3.78 states/eV per cell.

***

(8)
Crystalline BaAu at its relaxed geometry, computed with PBE.

The structure in POSCAR format:
```
BaAu
1.0
-2.5265 -1.0677 4.1947
3.0393 -5.7575 0.3651
6.1614 3.5450 4.6132
Au Ba
4 4
direct
0.7500 0.6363 0.5387
0.2500 0.1363 0.9613
0.2500 0.3637 0.4613
0.7500 0.8637 0.0387
0.2500 0.8610 0.3165
0.7500 0.3610 0.1835
0.2500 0.6390 0.8165
0.7500 0.1390 0.6835
```

Results
The density is 8.0 g/cm³. The space-group type is Pnma, No. 62. The calculation puts the spin magnetization at 0.0 μB per cell. The final energy comes out at -0.2443 Ry per atom. The density of states at the Fermi level comes out at 4.41 states/eV per cell.

***

(9)
Crystalline PuThTe2O at its relaxed geometry, computed with PBE.

The structure in POSCAR format:
```
PuThTe2O
1.0
4.2607 0.0000 0.0000
0.0000 4.2607 0.0000
0.0000 0.0000 14.6224
Te Th Pu O
4 2 2 2
direct
0.5000 0.0000 0.3117
0.0000 0.5000 0.6883
0.0000 0.5000 0.1339
0.5000 0.0000 0.8661
0.5000 0.0000 0.0940
0.0000 0.5000 0.9060
0.0000 0.5000 0.4303
0.5000 0.0000 0.5697
0.5000 0.5000 0.5000
0.0000 0.0000 0.5000
```

Results
The density is 9.3 g/cm³. The space-group type is P4/nmm, No. 129. The calculation puts the spin magnetization at 9.4 μB per cell. The final energy comes out at -0.6111 Ry per atom. For the formation energy without anion corrections, the calculation gives -1.716 eV/atom. The density of states at the Fermi level comes out at 13.37 states/eV per cell.

***

(10)
Crystalline Ho5ScSe6 at its relaxed geometry, computed with PBE.

The structure in POSCAR format:
```
Ho5ScSe6
1.0
6.8829 0.1773 1.0508
1.7000 5.8447 3.4082
0.1173 0.0547 6.9872
Se Ho Sc
6 5 1
direct
0.2485 0.2425 0.0000
0.7558 0.4065 0.6747
0.2442 0.9188 0.6747
0.7515 0.7575 0.0000
0.2442 0.5935 0.3253
0.7558 0.0812 0.3253
0.5000 0.5000 0.0000
0.0000 0.3334 0.3332
0.5000 0.1713 0.6574
0.5000 0.8287 0.3426
0.0000 0.6666 0.6668
0.0000 0.0000 0.0000
```

Results
The density is 8.0 g/cm³. The space-group type is C2/m, No. 12. The calculation puts the spin magnetization at 0.0 μB per cell. The final energy comes out at -0.4317 Ry per atom. For the formation energy without anion corrections, the calculation gives -1.697 eV/atom. The density of states at the Fermi level comes out at 5.23 states/eV per cell.

***

(11)
Crystalline TbCoAgSn at its relaxed geometry, computed with PBE.

The structure in POSCAR format:
```
TbCoAgSn
1.0
4.7884 0.0000 0.0000
2.3942 4.1469 0.0000
2.3942 1.3823 3.9097
Co Ag Sn Tb
1 1 1 1
direct
0.5000 0.5000 0.5000
0.0000 0.0000 0.0000
0.2500 0.2500 0.2500
0.7500 0.7500 0.7500
```

Results
The density is 9.5 g/cm³. The space-group type is F-43m, No. 216. The calculation puts the spin magnetization at 1.2 μB per cell. The final energy comes out at -0.3559 Ry per atom. The density of states at the Fermi level comes out at 3.17 states/eV per cell.

***

(12)
Crystalline AlB3Rh at its relaxed geometry, computed with PBE.

The structure in POSCAR format:
```
AlB3Rh
1.0
-4.0373 -0.7094 0.0223
0.1053 -0.4713 4.0707
-0.7019 4.0097 0.4824
B Al Rh
3 1 1
direct
0.0000 0.0000 0.5000
0.0000 0.5000 0.0000
0.5000 0.0000 0.0000
0.5000 0.5000 0.5000
0.0000 0.0000 0.0000
```

Results
The density is 3.9 g/cm³. The space-group type is Pm-3m, No. 221. The calculation puts the spin magnetization at 0.0 μB per cell. The final energy comes out at -0.3754 Ry per atom. The density of states at the Fermi level comes out at 4.99 states/eV per cell.

***

(13)
Crystalline NdThPb at its relaxed geometry, computed with PBE.

The structure in POSCAR format:
```
NdThPb
1.0
4.2338 0.0000 0.0000
0.0000 4.2338 0.0000
-2.1169 -2.1169 5.1939
Nd Pb Th
1 1 1
direct
0.9372 0.9372 0.8744
0.2848 0.2848 0.5695
0.6280 0.6280 0.2560
```

Results
The density is 10.4 g/cm³. The space-group type is I4mm, No. 107. The calculation puts the spin magnetization at 0.0 μB per cell. The final energy comes out at -0.4056 Ry per atom. The density of states at the Fermi level comes out at 3.07 states/eV per cell.

***

(14)
Crystalline Sm2Tl2Cd3 at its relaxed geometry, computed with PBE.

The structure in POSCAR format:
```
Sm2Tl2Cd3
1.0
3.4953 0.0000 0.0000
0.0000 4.7300 0.0000
0.0000 -2.3650 11.3793
Cd Sm Tl
3 2 2
direct
0.0000 0.0000 0.0000
0.5000 0.5663 0.1325
0.5000 0.4337 0.8675
0.0000 0.1485 0.2970
0.0000 0.8515 0.7030
0.5000 0.7093 0.4185
0.5000 0.2907 0.5815
```

Results
The density is 9.2 g/cm³. The space-group type is Cmmm, No. 65. The calculation puts the spin magnetization at 0.0 μB per cell. The final energy comes out at -0.1898 Ry per atom. The density of states at the Fermi level comes out at 5.02 states/eV per cell.

***

(15)
Crystalline Nd3Pu2Rh4 at its relaxed geometry, computed with PBE.

The structure in POSCAR format:
```
Nd3Pu2Rh4
1.0
-2.6537 0.3068 3.2989
-2.5858 -2.9567 -4.5361
4.2416 -7.0202 4.0649
Rh Pu Nd
4 2 3
direct
0.9122 0.8245 0.3711
0.0878 0.1755 0.6289
0.3011 0.6022 0.9088
0.6989 0.3978 0.0912
0.3211 0.6421 0.2115
0.6789 0.3579 0.7885
0.3774 0.7548 0.6120
0.0000 0.0000 0.0000
0.6226 0.2452 0.3880
```

Results
The density is 10.3 g/cm³. The space-group type is C2/m, No. 12. The calculation puts the spin magnetization at 10.2 μB per cell. The final energy comes out at -0.6311 Ry per atom. The density of states at the Fermi level comes out at 15.02 states/eV per cell.

***

(16)
Crystalline Si2NiCl at its relaxed geometry, computed with PBE.

The structure in POSCAR format:
```
Si2NiCl
1.0
2.8024 0.0000 0.0000
0.0000 4.5410 0.0000
0.0000 0.0000 4.6420
Cl Ni Si
1 1 2
direct
0.5000 0.0000 0.5000
0.0000 0.5000 0.5000
0.0000 0.0000 0.0000
0.5000 0.5000 0.0000
```

Results
The density is 4.2 g/cm³. The space-group type is Pmmm, No. 47. The calculation puts the spin magnetization at 0.0 μB per cell. The final energy comes out at -0.3049 Ry per atom. For the formation energy without anion corrections, the calculation gives 0.470 eV/atom. The density of states at the Fermi level comes out at 2.20 states/eV per cell.

***

(17)
Crystalline NdY2Ho5 at its relaxed geometry, computed with PBE.

The structure in POSCAR format:
```
NdY2Ho5
1.0
5.0176 0.0000 0.0000
0.0000 7.1170 0.0000
0.0000 0.0000 14.2411
Ho Nd Y
10 2 4
direct
0.0000 0.5005 0.2511
0.5000 0.2488 0.8741
0.5000 0.7488 0.6259
0.0000 0.9995 0.7511
0.0000 0.0000 0.0000
0.0000 0.5000 0.5000
0.0000 0.0005 0.2489
0.5000 0.2512 0.3741
0.5000 0.7512 0.1259
0.0000 0.4995 0.7489
0.0000 0.0000 0.5000
0.0000 0.5000 0.0000
0.5000 0.7498 0.3743
0.5000 0.7502 0.8742
0.5000 0.2498 0.1258
0.5000 0.2502 0.6258
```

Results
The density is 7.5 g/cm³. The space-group type is Pbam, No. 55. The calculation puts the spin magnetization at 0.0 μB per cell. The final energy comes out at -0.3714 Ry per atom. The density of states at the Fermi level comes out at 19.55 states/eV per cell.

***

(18)
Crystalline SrTb2Al at its relaxed geometry, computed with PBE.

The structure in POSCAR format:
```
SrTb2Al
1.0
-2.1275 -2.8593 0.8428
1.4561 -2.9599 1.5908
-2.2726 2.6605 11.2456
Tb Al Sr
2 1 1
direct
0.1040 0.1040 0.6879
0.8960 0.8960 0.3121
0.5000 0.5000 0.5000
0.0000 0.0000 0.0000
```

Results
The density is 5.3 g/cm³. The space-group type is R-3m, No. 166. The calculation puts the spin magnetization at 0.0 μB per cell. The final energy comes out at -0.2607 Ry per atom. The density of states at the Fermi level comes out at 4.45 states/eV per cell.

***

(19)
Crystalline As2SeS at its relaxed geometry, computed with PBE.

The structure in POSCAR format:
```
As2SeS
1.0
0.0000 3.3341 3.3341
3.3341 0.0000 3.3341
3.3341 3.3341 0.0000
Se S As
1 1 2
direct
0.5000 0.5000 0.5000
0.0000 0.0000 0.0000
0.2500 0.2500 0.2500
0.7500 0.7500 0.7500
```

Results
The density is 5.8 g/cm³. The space-group type is Fm-3m, No. 225. The calculation puts the spin magnetization at 0.0 μB per cell. The final energy comes out at -0.2773 Ry per atom. For the formation energy without anion corrections, the calculation gives 0.456 eV/atom. The density of states at the Fermi level comes out at 2.10 states/eV per cell.

***

(20)
Crystalline Ga2NiRu at its relaxed geometry, computed with PBE.

The structure in POSCAR format:
```
Ga2NiRu
1.0
-2.5373 -1.8891 -2.1752
0.7382 -3.5949 -1.1268
-2.6770 -3.4576 2.7377
Ga Ru Ni
2 1 1
direct
0.0715 0.0715 0.7855
0.2640 0.2640 0.2079
0.4887 0.4887 0.5340
0.6758 0.6758 0.9726
```

Results
The density is 8.4 g/cm³. The space-group type is R3m, No. 160. The calculation puts the spin magnetization at 0.0 μB per cell. The final energy comes out at -0.3946 Ry per atom. The density of states at the Fermi level comes out at 4.15 states/eV per cell.